Entry from OQMD via LeMat-Bulk: a relaxed structure of CoReAsO (PBE+U).

Structure (POSCAR):
```
CoReAsO
1.0
3.6194 0.0000 0.0000
0.0000 3.6194 0.0000
0.0000 0.0000 7.0257
O Re Co As
2 2 2 2
direct
0.0000 0.0000 0.0000
0.5000 0.5000 0.0000
0.5000 0.0000 0.1845
0.0000 0.5000 0.8155
0.0000 0.0000 0.5000
0.5000 0.5000 0.5000
0.5000 0.0000 0.6998
0.0000 0.5000 0.3002
```

Output
Excess energy over the best structure of this formula in the dataset in kJ/mol of formula units: 137
Total energy in eV per atom: -6.610
Spin magnetization in μB per cell: 1.0
Symmetry: No. 129